No. 1
The following is a DFT calculation (GGA-PBEsol) of an optimized crystal structure of TcNiTe.

Output
Formation energy (no corrections) = 0.30 eV/atom

Lattice parameters (Å, degrees): 4.206 4.206 4.206 60.00 60.00 60.00
Element x y z (fractional)
Tc: 0.000 0.000 0.000
Ni: 0.250 0.250 0.250
Te: 0.750 0.750 0.750

No. 2
The following is a DFT calculation (GGA-PBEsol) of an optimized crystal structure of TcNiTe.

Output
Formation energy (no corrections) = 0.49 eV/atom

Lattice parameters (Å, degrees): 3.082 3.082 5.800 90.00 90.00 120.00
Element x y z (fractional)
Tc: 0.000 0.000 0.000
Ni: 0.667 0.333 0.318
Te: 0.333 0.667 0.654

No. 3
The following is a DFT calculation (GGA-PBEsol) of an optimized crystal structure of TiTc3Ni.

Output
Raw total energy = -41.9 eV per formula unit

Lattice parameters (Å, degrees): 4.339 4.339 4.339 90.00 90.00 90.00
Element x y z (fractional)
Ti: 0.000 0.000 0.000
Tc: 0.000 0.500 0.500
Tc: 0.500 0.000 0.500
Tc: 0.500 0.500 0.000
Ni: 0.500 0.500 0.500

No. 4
The following is a DFT calculation (GGA-PBEsol) of an optimized crystal structure of TlTc2Ni.

Output
Raw total energy = -28.6 eV per formula unit

Lattice parameters (Å, degrees): 4.372 4.372 4.372 60.00 60.00 60.00
Element x y z (fractional)
Tl: 0.000 0.000 0.000
Tc: 0.250 0.250 0.250
Tc: 0.750 0.750 0.750
Ni: 0.500 0.500 0.500

No. 5
The following is a DFT calculation (GGA-PBEsol) of an optimized crystal structure of TlTcNi.

Output
Raw total energy = -18.4 eV per formula unit

Lattice parameters (Å, degrees): 2.882 2.882 6.503 90.00 90.00 120.00
Element x y z (fractional)
Tl: 0.000 0.000 0.000
Tc: 0.667 0.333 0.373
Ni: 0.333 0.667 0.658

No. 6
The following is a DFT calculation (GGA-PBEsol) of an optimized crystal structure of TcNiW2.

Output
Raw total energy = -44.6 eV per formula unit

Lattice parameters (Å, degrees): 3.160 3.160 5.622 90.00 90.00 90.00
Element x y z (fractional)
Tc: 0.000 0.000 0.000
Ni: 0.500 0.500 0.751
W: 0.000 0.000 0.542
W: 0.500 0.500 0.253

No. 7
The following is a DFT calculation (GGA-PBEsol) of an optimized crystal structure of TcNiW2.

Output
Raw total energy = -44.6 eV per formula unit

Lattice parameters (Å, degrees): 3.180 3.180 5.531 90.00 90.00 90.00
Element x y z (fractional)
Tc: 0.000 0.000 0.000
Ni: 0.000 0.000 0.500
W: 0.500 0.500 0.265
W: 0.500 0.500 0.735

No. 8
The following is a DFT calculation (GGA-PBEsol) of an optimized crystal structure of TcNiW.

Output
Raw total energy = -31.0 eV per formula unit

Lattice parameters (Å, degrees): 4.277 4.277 2.570 90.00 90.00 120.00
Element x y z (fractional)
Tc: 0.000 0.000 0.000
Ni: 0.333 0.667 0.561
W: 0.667 0.333 0.341